Na2LiTl | Alexandria | PBE-GGA | relaxed; SG = Immm, No. 71; total magnetic moment = 0.0 μB per formula unit; calculated formation energy = 17 meV per atom
1.0
-1.839 2.012 8.401
1.839 -2.012 8.401
1.839 2.012 -8.401
Na Li Tl
2 1 1
Cartesian
0.000 0.000 2.884 Na
0.000 0.000 13.918 Na
0.000 0.000 0.000 Li
0.000 0.000 8.401 Tl